Entry 1:
Here is an optimized crystal structure of BaSc3I from Alexandria via LeMat-Bulk. Energies are from PBE-GGA.

Values from the calculation:
DOS(E_F) = 0.937 states/eV/atom
symmetry = No. 221
raw formation energy = 5.926 eV per formula unit
energy relative to the lowest polymorph listed for this composition = 891 meV per atom
crystal system = cubic

Unit cell a=5.5519 b=5.5519 c=5.5519 alpha=90.00 beta=90.00 gamma=90.00
With the nearest neighbours (Å) after each atom.
Element x y z (fractional)
Ba: 0.0000 0.0000 0.0000  6 Sc 2.78
Sc: 0.0000 0.0000 0.5000  2 Ba 2.78
I: 0.5000 0.5000 0.5000  12 Sc 3.93
Sc: 0.5000 0.0000 0.0000  2 Ba 2.78
Sc: 0.0000 0.5000 0.0000  2 Ba 2.78


Entry 2:
Here is an optimized crystal structure of Li5La4Tl6 from Alexandria via LeMat-Bulk. Energies are from PBE-GGA.

Values from the calculation:
DOS(E_F) = 0.735 states/eV/atom
symmetry = No. 63
ΔE_f = -0.28 eV per atom
crystal system = orthorhombic

Unit cell a=4.9445 b=10.7529 c=15.2743 alpha=90.00 beta=90.00 gamma=103.29
With the nearest neighbours (Å) after each atom.
Element x y z (fractional)
La: 0.8278 0.6555 0.4974  6 Tl 3.21-3.53, 5 Li 3.43-3.54
Tl: 0.5571 0.1142 0.3134  3 Li 2.87-3.22, 1 Tl 3.15
Tl: 0.0466 0.0933 0.1304  4 Li 2.83-2.84
Li: 0.5190 0.0380 0.6305  1 Li 2.78, 3 Tl 2.83-2.87
Tl: 0.3440 0.6881 0.1304  5 Li 2.87-3.12
La: 0.1722 0.3444 0.2633  6 Tl 3.21-3.54, 5 Li 3.42-3.54
Li: 0.4810 0.9620 0.1305  1 Li 2.78, 3 Tl 2.83-2.87
Tl: 0.4429 0.8858 0.8134  3 Li 2.87-3.22, 1 Tl 3.15
Tl: 0.6560 0.3119 0.6304  5 Li 2.87-3.12
Li: 0.2375 0.4750 0.6303  2 Tl 2.61
Li: 0.3333 0.6667 0.3337  5 Tl 2.81-3.11
Tl: 0.4428 0.8856 0.4474  2 Li 2.87-3.04, 1 Tl 3.15
Tl: 0.7748 0.5495 0.9603  3 Li 2.61-2.81
Tl: 0.2252 0.4505 0.4603  3 Li 2.61-2.81
La: 0.1722 0.3445 0.9974  6 Tl 3.21-3.53, 5 Li 3.43-3.54
La: 0.0653 0.1306 0.7791  6 Tl 3.26-3.60, 4 Li 3.36-3.49
Tl: 0.2253 0.4506 0.8003  3 Li 2.61-2.81
Li: 0.6137 0.2274 0.1305  1 Li 2.78, 4 Tl 2.84-3.04
La: 0.9347 0.8695 0.9817  6 Tl 3.26-3.60, 4 Li 3.36-3.50
Li: 0.6667 0.3333 0.8337  5 Tl 2.81-3.11
Li: 0.3863 0.7726 0.6305  1 Li 2.78, 4 Tl 2.84-3.04
La: 0.8278 0.6556 0.7633  6 Tl 3.21-3.54, 5 Li 3.42-3.54
Li: 0.3334 0.6668 0.9267  5 Tl 2.81-3.12
Li: 0.7625 0.5250 0.1303  2 Tl 2.61
Tl: 0.9534 0.9067 0.6304  4 Li 2.83-2.84
La: 0.9347 0.8694 0.2791  6 Tl 3.26-3.60, 4 Li 3.36-3.49
Li: 0.6666 0.3332 0.4267  5 Tl 2.81-3.12
Tl: 0.7747 0.5494 0.3003  3 Li 2.61-2.81
Tl: 0.5572 0.1144 0.9474  2 Li 2.87-3.04, 1 Tl 3.15
La: 0.0653 0.1305 0.4817  6 Tl 3.26-3.60, 4 Li 3.36-3.50


Entry 3:
Here is an optimized crystal structure of ZrReMo from Alexandria via LeMat-Bulk. Energies are from PBE-GGA.

Values from the calculation:
DOS(E_F) = 0.543 states/eV/atom
symmetry = No. 42
ΔE_f = 0.03 eV per atom
energy relative to the lowest polymorph listed for this composition = 292 meV per atom
crystal system = orthorhombic

Unit cell a=7.2326 b=7.0307 c=2.8456 alpha=82.51 beta=74.53 gamma=22.96
With the nearest neighbours (Å) after each atom.
Element x y z (fractional)
Re: 0.3393 0.3393 0.6607  2 Mo 2.64, 2 Zr 2.83, 4 Re 2.85
Zr: 0.6691 0.6691 0.3309  2 Re 2.83, 4 Zr 2.85, 2 Mo 2.92
Mo: 0.9916 0.9916 0.0084  2 Re 2.64, 4 Mo 2.85, 2 Zr 2.92


Entry 4:
Here is an optimized crystal structure of ErSiPd from Alexandria via LeMat-Bulk. Energies are from PBE-GGA.

Values from the calculation:
DOS(E_F) = 0.303 states/eV/atom
symmetry = No. 107
raw formation energy = -1.464 eV per formula unit
crystal system = tetragonal

Unit cell a=3.7631 b=3.7631 c=4.9677 alpha=112.26 beta=112.26 gamma=90.00
With the nearest neighbours (Å) after each atom.
Element x y z (fractional)
Pd: 0.9633 0.9633 0.9266  1 Si 2.63, 4 Er 2.93
Si: 0.2763 0.2763 0.5527  1 Pd 2.63, 1 Er 2.80
Er: 0.6104 0.6104 0.2207  5 Si 2.80-3.00, 5 Pd 2.93-2.96


The lowest DOS(E_F) belongs to which entry?
ErSiPd


Number 2 is which compound?
Li5La4Tl6


Which formula does entry 1 have?
BaSc3I